# Sr6Tl2Au | the Alexandria database | GGA-PBE | relaxed
data_Sr6Tl2Au
_space_group_name_H-M_alt 'I m m m'
_space_group_IT_number 71
_space_group_name_Hall '-I 2 2'
_cell_length_a 11.071
_cell_length_b 11.369
_cell_length_c 11.370
_cell_angle_alpha 90.00
_cell_angle_beta 90.00
_cell_angle_gamma 90.00
loop_
_atom_site_label
_atom_site_fract_x
_atom_site_fract_y
_atom_site_fract_z
Sr1 0.000 0.166 0.240
Sr2 0.165 0.500 0.217
Sr3 0.227 0.307 0.500
Tl1 0.000 0.355 0.000
Tl2 0.134 0.000 0.500
Au1 0.000 0.000 0.000
Au2 0.000 0.500 0.500
# Calculated formation energy ... -2.6 eV/f.u.
# Energy above the most stable polymorph in this dataset ... 81 meV/atom
# Energy ... -82.93 eV for the cell shown
# Volume ... 1431.1 Å³/cell